Ba5Ir (PBEsol, relaxed); crystal system = monoclinic; energy relative to the elements = 0.05 eV/atom; polymorph energy (0 for the lowest one) = 0 meV per atom; volume = 46.2 Å³/atom
1.0
4.011 0.000 0.000
2.006 7.276 0.000
2.006 2.903 9.506
Ba Ir
5 1
Direct
0.388 0.333 0.892
0.000 0.500 0.500
0.612 0.667 0.108
0.337 0.060 0.265
0.663 0.940 0.735
0.000 0.000 0.000